(1)
Entry from Alexandria via LeMat-Bulk: crystalline Ga2ReTcAu at its relaxed geometry (PBE-GGA).

POSCAR file:
```
Ga2ReTcAu
1.0
-2.446 3.736 -1.304
-4.100 -1.759 2.653
1.468 2.280 3.780
Au Tc Ga Re
1 1 2 1
Direct
0.000 0.000 0.000
0.500 0.500 0.500
0.000 0.000 0.500
0.500 0.000 0.000
0.000 0.500 0.000
```

Computed properties:
* D(E_F): 4.06 states/eV/cell
* M_tot: 5.4 μB/cell
* calculated formation energy: 1712 meV/atom

(2)
Entry from Alexandria via LeMat-Bulk: crystalline SrGaCu2Pt at its relaxed geometry (PBE-GGA).

POSCAR file:
```
SrGaCu2Pt
1.0
-1.909 -1.757 -3.476
3.548 0.888 -2.397
1.125 -4.070 4.145
Cu Sr Pt Ga
2 1 1 1
Direct
0.062 0.062 0.123
0.694 0.194 0.388
0.447 0.447 0.894
0.193 0.693 0.386
0.817 0.817 0.633
```

Computed properties:
* D(E_F): 2.29 states/eV/cell
* M_tot: 0.0 μB/cell
* calculated formation energy: -384 meV/atom

(3)
Entry from Alexandria via LeMat-Bulk: crystalline TbPr2Sm2Y6 at its relaxed geometry (PBE-GGA).

POSCAR file:
```
TbPr2Sm2Y6
1.0
-3.519 2.485 4.410
1.941 -5.815 0.652
9.894 4.624 4.163
Y Pr Sm Tb
6 2 2 1
Direct
0.067 0.401 0.746
0.599 0.933 0.254
0.933 0.599 0.254
0.401 0.067 0.746
0.267 0.267 0.245
0.733 0.733 0.755
0.823 0.177 0.000
0.177 0.823 0.000
0.337 0.663 0.500
0.663 0.337 0.500
0.000 0.000 0.500
```

Computed properties:
* D(E_F): 17.30 states/eV/cell
* M_tot: 0.0 μB/cell
* calculated formation energy: 181 meV/atom

(4)
Entry from Alexandria via LeMat-Bulk: crystalline Dy4NiIr at its relaxed geometry (PBE-GGA).

POSCAR file:
```
Dy4NiIr
1.0
-5.652 4.562 2.443
3.413 -4.363 5.295
5.440 4.649 -2.741
Dy Ni Ir
8 2 2
Direct
0.699 0.497 0.202
0.753 0.053 0.301
0.202 0.003 0.199
0.803 0.003 0.801
0.247 0.546 0.298
0.753 0.452 0.699
0.296 0.497 0.798
0.247 0.949 0.702
0.252 0.252 0.000
0.002 0.502 0.500
0.748 0.748 0.000
0.498 0.998 0.500
```

Computed properties:
* D(E_F): 6.99 states/eV/cell
* M_tot: 0.0 μB/cell
* calculated formation energy: -405 meV/atom

(5)
Entry from Alexandria via LeMat-Bulk: crystalline CoPbAu4 at its relaxed geometry (PBE-GGA).

POSCAR file:
```
CoPbAu4
1.0
0.059 -5.565 0.068
-0.504 -2.729 4.824
-4.665 -2.818 1.129
Co Au Pb
1 4 1
Direct
0.750 0.750 0.750
0.873 0.376 0.376
0.376 0.873 0.376
0.376 0.376 0.873
0.376 0.376 0.376
0.000 0.000 0.000
```

Computed properties:
* D(E_F): 4.40 states/eV/cell
* M_tot: 1.8 μB/cell
* calculated formation energy: 341 meV/atom

(6)
Entry from Alexandria via LeMat-Bulk: crystalline Na2SiNi at its relaxed geometry (PBE-GGA).

POSCAR file:
```
Na2SiNi
1.0
10.927 0.000 0.000
0.000 10.927 0.000
5.463 5.463 2.140
Ni Si Na
2 2 4
Direct
0.750 0.250 0.500
0.000 0.000 0.000
0.500 0.500 0.000
0.250 0.750 0.500
0.859 0.125 0.250
0.375 0.141 0.750
0.891 0.625 0.250
0.875 0.109 0.750
```

Computed properties:
* D(E_F): 5.61 states/eV/cell
* M_tot: 0.0 μB/cell
* formation energy without anion corrections: 199.2 meV per atom